Compound: TbDy3Pd6
Source: Alexandria
Functional: PBE
Structure: optimized geometry

Geometry as extended XYZ:
```
20
Lattice="-1.7168 2.5990 3.3868 -7.5338 -1.9094 -2.3536 2.5699 -8.1104 7.5266" Properties=species:S:1:pos:R:3 pbc="T T T"
Pd -6.0800 -3.4013 1.0911
Tb -0.9594 -1.5369 5.3818
Dy -3.5645 -4.0767 6.0102
Pd -3.5259 -6.6969 4.9148
Pd -3.1589 -6.5688 8.1283
Dy -0.1620 -6.4700 9.5716
Pd -5.6679 -3.0496 4.1559
Dy -3.1161 -3.3441 2.5496
Pd -1.0128 -4.3712 4.4039
Pd -5.6301 -6.2844 6.6574
Pd 1.4352 -6.2955 7.1215
Pd -0.6007 -4.0195 7.4687
Dy -6.5186 -0.9508 -1.0117
Dy -5.6154 -0.7834 2.4434
Pd -3.5217 -0.8520 0.4315
Pd -1.0506 -1.1364 1.9024
Dy -1.0653 -6.6374 6.1164
Pd -8.1158 -1.1252 1.4383
Pd -3.1547 -0.7239 3.6450
Tb -5.7213 -5.8838 3.1780
```

Calculated values
VASP energy: -116.34 eV per cell
Size of the total moment: 0.000 μB/atom



Compound: Cr2BAuSe
Source: Alexandria
Functional: PBE
Structure: optimized geometry

Geometry as extended XYZ:
```
5
Lattice="-0.2317 -1.7376 4.8156 3.5179 -1.7669 -0.4683 2.3515 4.2458 1.6451" Properties=species:S:1:pos:R:3 pbc="T T T"
Cr -0.1159 -0.8688 2.4078
Au 0.0000 0.0000 0.0000
Se 2.8188 0.3706 2.9962
Cr 1.1758 2.1229 0.8226
B 1.7589 -0.8835 -0.2341
```

Calculated values
VASP energy: -27.87 eV per cell
Size of the total moment: 1.613 μB/atom



size of the total moment of number 1 (TbDy3Pd6)?
0.000 μB/atom



Which formula does entry 2 have?
Cr2BAuSe